# 1
Density functional theory data (PBE-GGA) for a relaxed LiSm2Gd crystal.

* distance to the lowest polymorph of the same formula: 105 meV per atom
* raw total energy: -6.181 eV/atom
* energy of formation: 0.18 eV/atom

Cell and atoms, written as CIF:
```
data_LiSm2Gd
_symmetry_space_group_name_H-M 'P 1'
_symmetry_Int_Tables_number 1
_cell_length_a 3.499
_cell_length_b 3.499
_cell_length_c 12.498
_cell_angle_alpha 81.95
_cell_angle_beta 81.95
_cell_angle_gamma 60.00
loop_
_symmetry_equiv_pos_as_xyz
'x,y,z'
loop_
_atom_site_label
_atom_site_type_symbol
_atom_site_fract_x
_atom_site_fract_y
_atom_site_fract_z
Gd1 Gd 0.500 0.500 0.500
Sm1 Sm 0.089 0.089 0.734
Sm2 Sm 0.911 0.911 0.266
Li1 Li 0.000 0.000 0.000
```



# 2
Density functional theory data (PBE-GGA) for a relaxed Li2SmGd crystal.

* distance to the lowest polymorph of the same formula: 1 meV per atom
* raw total energy: -5.520 eV/atom
* energy of formation: 0.14 eV/atom

Cell and atoms, written as CIF:
```
data_Li2SmGd
_symmetry_space_group_name_H-M 'P 1'
_symmetry_Int_Tables_number 1
_cell_length_a 5.305
_cell_length_b 5.305
_cell_length_c 5.305
_cell_angle_alpha 60.00
_cell_angle_beta 60.00
_cell_angle_gamma 60.00
loop_
_symmetry_equiv_pos_as_xyz
'x,y,z'
loop_
_atom_site_label
_atom_site_type_symbol
_atom_site_fract_x
_atom_site_fract_y
_atom_site_fract_z
Gd1 Gd 0.000 0.000 0.000
Sm1 Sm 0.500 0.500 0.500
Li1 Li 0.250 0.250 0.250
Li2 Li 0.750 0.750 0.750
```



# 3
Density functional theory data (PBE-GGA) for a relaxed LiSm2Gd crystal.

* distance to the lowest polymorph of the same formula: 0 meV per atom
* raw total energy: -6.286 eV/atom
* energy of formation: 0.07 eV/atom

Cell and atoms, written as CIF:
```
data_LiSm2Gd
_symmetry_space_group_name_H-M 'P 1'
_symmetry_Int_Tables_number 1
_cell_length_a 3.647
_cell_length_b 3.647
_cell_length_c 9.037
_cell_angle_alpha 90.00
_cell_angle_beta 90.00
_cell_angle_gamma 90.00
loop_
_symmetry_equiv_pos_as_xyz
'x,y,z'
loop_
_atom_site_label
_atom_site_type_symbol
_atom_site_fract_x
_atom_site_fract_y
_atom_site_fract_z
Gd1 Gd 0.500 0.500 0.500
Sm1 Sm 0.000 0.000 0.775
Sm2 Sm 0.000 0.000 0.225
Li1 Li 0.500 0.500 0.000
```



# 4
Density functional theory data (PBE-GGA) for a relaxed Li2SmGd crystal.

* distance to the lowest polymorph of the same formula: 0 meV per atom
* raw total energy: -5.521 eV/atom
* energy of formation: 0.14 eV/atom

Cell and atoms, written as CIF:
```
data_Li2SmGd
_symmetry_space_group_name_H-M 'P 1'
_symmetry_Int_Tables_number 1
_cell_length_a 3.747
_cell_length_b 5.310
_cell_length_c 5.310
_cell_angle_alpha 90.00
_cell_angle_beta 90.00
_cell_angle_gamma 90.00
loop_
_symmetry_equiv_pos_as_xyz
'x,y,z'
loop_
_atom_site_label
_atom_site_type_symbol
_atom_site_fract_x
_atom_site_fract_y
_atom_site_fract_z
Gd1 Gd 0.500 0.500 0.500
Sm1 Sm 0.500 0.000 0.000
Li1 Li 0.000 0.000 0.500
Li2 Li 0.000 0.500 0.000
```



# 5
Density functional theory data (PBE-GGA) for a relaxed LiSmGd crystal.

* distance to the lowest polymorph of the same formula: 0 meV per atom
* raw total energy: -6.830 eV/atom
* energy of formation: 0.07 eV/atom

Cell and atoms, written as CIF:
```
data_LiSmGd
_symmetry_space_group_name_H-M 'P 1'
_symmetry_Int_Tables_number 1
_cell_length_a 3.686
_cell_length_b 3.686
_cell_length_c 6.885
_cell_angle_alpha 105.53
_cell_angle_beta 105.53
_cell_angle_gamma 90.00
loop_
_symmetry_equiv_pos_as_xyz
'x,y,z'
loop_
_atom_site_label
_atom_site_type_symbol
_atom_site_fract_x
_atom_site_fract_y
_atom_site_fract_z
Gd1 Gd 0.011 0.011 0.022
Sm1 Sm 0.323 0.323 0.645
Li1 Li 0.666 0.666 0.333
```



# 6
Density functional theory data (PBE-GGA) for a relaxed LiSm2Gd crystal.

* distance to the lowest polymorph of the same formula: 61 meV per atom
* raw total energy: -6.225 eV/atom
* energy of formation: 0.13 eV/atom

Cell and atoms, written as CIF:
```
data_LiSm2Gd
_symmetry_space_group_name_H-M 'P 1'
_symmetry_Int_Tables_number 1
_cell_length_a 3.751
_cell_length_b 5.701
_cell_length_c 5.701
_cell_angle_alpha 90.00
_cell_angle_beta 90.00
_cell_angle_gamma 90.00
loop_
_symmetry_equiv_pos_as_xyz
'x,y,z'
loop_
_atom_site_label
_atom_site_type_symbol
_atom_site_fract_x
_atom_site_fract_y
_atom_site_fract_z
Gd1 Gd 0.500 0.500 0.500
Sm1 Sm 0.000 0.000 0.500
Sm2 Sm 0.000 0.500 0.000
Li1 Li 0.500 0.000 0.000
```



# 7
Density functional theory data (PBE-GGA) for a relaxed LiSm2Gd crystal.

* distance to the lowest polymorph of the same formula: 104 meV per atom
* raw total energy: -6.182 eV/atom
* energy of formation: 0.18 eV/atom

Cell and atoms, written as CIF:
```
data_LiSm2Gd
_symmetry_space_group_name_H-M 'P 1'
_symmetry_Int_Tables_number 1
_cell_length_a 5.558
_cell_length_b 5.558
_cell_length_c 5.558
_cell_angle_alpha 60.00
_cell_angle_beta 60.00
_cell_angle_gamma 60.00
loop_
_symmetry_equiv_pos_as_xyz
'x,y,z'
loop_
_atom_site_label
_atom_site_type_symbol
_atom_site_fract_x
_atom_site_fract_y
_atom_site_fract_z
Gd1 Gd 0.000 0.000 0.000
Sm1 Sm 0.250 0.250 0.250
Sm2 Sm 0.750 0.750 0.750
Li1 Li 0.500 0.500 0.500
```



# 8
Density functional theory data (PBE-GGA) for a relaxed LiSmGd crystal.

* distance to the lowest polymorph of the same formula: 31 meV per atom
* raw total energy: -6.800 eV/atom
* energy of formation: 0.10 eV/atom

Cell and atoms, written as CIF:
```
data_LiSmGd
_symmetry_space_group_name_H-M 'P 1'
_symmetry_Int_Tables_number 1
_cell_length_a 3.529
_cell_length_b 3.529
_cell_length_c 8.397
_cell_angle_alpha 90.00
_cell_angle_beta 90.00
_cell_angle_gamma 120.00
loop_
_symmetry_equiv_pos_as_xyz
'x,y,z'
loop_
_atom_site_label
_atom_site_type_symbol
_atom_site_fract_x
_atom_site_fract_y
_atom_site_fract_z
Gd1 Gd 0.667 0.333 0.329
Sm1 Sm 0.333 0.667 0.670
Li1 Li 0.000 0.000 0.001
```



What is the formula in the seventh record?
LiSm2Gd



Among the records above, which one has the highest raw total energy?
number 2